[1]
# K2OsCl | Alexandria | GGA-PBE | relaxed
# - Energy relative to the elements, uncorrected: 0.502 eV per atom
# - Fermi-level density of states: 1.069 states/eV/atom
# - Magnetic moment: 2.5 μB/f.u.
# - Distance to the lowest polymorph of the same formula: 229 meV/atom
data_K2OsCl
_space_group_name_H-M_alt 'C 1 m 1'
_space_group_IT_number 8
_space_group_name_Hall 'C -2y'
_cell_length_a 12.725
_cell_length_b 3.169
_cell_length_c 5.884
_cell_angle_alpha 90.00
_cell_angle_beta 90.21
_cell_angle_gamma 90.00
loop_
_atom_site_label
_atom_site_type_symbol
_atom_site_fract_x
_atom_site_fract_y
_atom_site_fract_z
_atom_site_occupancy
K1 K 0.000 0.000 0.000 1
K2 K 0.225 0.000 0.501 1
Os1 Os 0.483 0.000 0.500 1
Cl1 Cl 0.216 0.500 0.000 1


[2]
# YMgCl2 | Alexandria | GGA-PBE | relaxed
# - Energy relative to the elements, uncorrected: -1.026 eV per atom
# - Fermi-level density of states: 0.263 states/eV/atom
# - Magnetic moment: 1.0 μB/f.u.
# - Distance to the lowest polymorph of the same formula: 230 meV/atom
data_YMgCl2
_space_group_name_H-M_alt 'R -3 m'
_space_group_IT_number 166
_space_group_name_Hall '-R 3 2"'
_cell_length_a 3.5993
_cell_length_b 3.5993
_cell_length_c 30.1667
_cell_angle_alpha 90.00
_cell_angle_beta 90.00
_cell_angle_gamma 120.00
loop_
_atom_site_label
_atom_site_type_symbol
_atom_site_fract_x
_atom_site_fract_y
_atom_site_fract_z
_atom_site_occupancy
Y1 Y 0.0000 0.0000 0.0000 1
Mg1 Mg 0.0000 0.0000 0.5000 1
Cl1 Cl 0.0000 0.0000 0.1202 1